DFT (PBE) results for a relaxed PmAg5Se4 crystal.

```
PmAg5Se4
1.0
-2.1629 3.8993 7.2894
2.1629 -3.8993 7.2894
2.1629 3.8993 -7.2894
Pm Ag Se
1 5 4
Cartesian
0.0000 0.0000 0.0000
2.1629 1.7055 -2.6505
2.1629 1.7055 2.6505
0.0000 3.8993 0.0000
0.0000 2.1938 4.6390
0.0000 2.1938 9.9399
0.0000 0.0000 3.0305
2.1629 2.0844 0.0000
0.0000 1.8149 7.2894
0.0000 0.0000 11.5484
```

Uncorrected energy (eV per formula unit): -37.775
Volume (A^3/atom): 24.59